Pr2NdHoH: optimized geometry, PBE.

```
Pr2NdHoH
1.0
-2.687 4.236 0.853
-3.395 -1.419 -3.647
-2.798 -2.494 3.576
Pr Nd Ho H
2 1 1 1
Direct
0.000 0.000 0.500
0.000 0.500 0.000
0.500 0.500 0.500
0.500 0.000 0.000
0.000 0.000 0.000
```

electronic total energy	-4.622	eV/atom
spin magnetization	0.00	μB per formula unit
space-group type	P4/mmm

---

NdSm2HoH: optimized geometry, PBE.

```
NdSm2HoH
1.0
5.063 0.000 0.000
0.000 5.091 0.000
0.000 0.000 5.091
Nd Sm Ho H
1 2 1 1
Direct
0.500 0.500 0.500
0.000 0.000 0.500
0.000 0.500 0.000
0.500 0.000 0.000
0.000 0.000 0.000
```

electronic total energy	-4.599	eV/atom
spin magnetization	0.00	μB per formula unit
space-group type	P4/mmm

---

Nd4Ho2Tl3H2: optimized geometry, PBE.

```
Nd4Ho2Tl3H2
1.0
4.823 0.000 0.000
0.000 4.823 0.000
-2.411 -2.411 12.640
Nd Ho Tl H
4 2 3 2
Direct
0.413 0.913 0.825
0.913 0.413 0.825
0.087 0.587 0.175
0.587 0.087 0.175
0.300 0.300 0.599
0.700 0.700 0.401
0.000 0.000 0.000
0.177 0.177 0.355
0.823 0.823 0.645
0.391 0.391 0.782
0.609 0.609 0.218
```

electronic total energy	-4.075	eV/atom
spin magnetization	0.00	μB per formula unit
space-group type	I4/mmm

---

Ho2NiH4: optimized geometry, PBE.

```
Ho2NiH4
1.0
3.462 0.000 0.000
0.000 3.462 0.000
1.731 1.731 6.121
Ni Ho H
1 2 4
Direct
0.000 0.000 0.000
0.350 0.350 0.301
0.650 0.650 0.699
0.150 0.150 0.700
0.850 0.850 0.300
0.000 0.500 0.000
0.500 0.000 0.000
```

electronic total energy	-4.465	eV/atom
spin magnetization	0.00	μB per formula unit
space-group type	I4/mmm

---

HoNi3H: optimized geometry, PBE.

```
HoNi3H
1.0
-2.950 -2.461 0.488
1.622 -2.445 -2.527
1.914 -1.721 2.893
Ni Ho H
3 1 1
Direct
0.000 0.500 0.000
0.000 0.000 0.500
0.500 0.000 0.000
0.500 0.500 0.500
0.000 0.000 0.000
```

electronic total energy	-5.330	eV/atom
spin magnetization	0.00	μB per formula unit
space-group type	Pm-3m

---

HoNiH: optimized geometry, PBE.

```
HoNiH
1.0
-3.397 -0.532 0.182
0.508 -3.576 -0.971
0.039 0.981 3.609
Ni Ho H
1 1 1
Direct
0.167 0.000 0.000
0.666 0.333 0.667
0.167 0.667 0.333
```

spin magnetization	0.00	μB per formula unit
space-group type	P-6m2
energy above the most stable polymorph in this dataset	0.74	eV per formula unit

---

HoNi5H7: optimized geometry, PBE.

```
HoNi5H7
1.0
-2.013 1.772 4.675
-4.535 1.889 -0.886
0.069 -3.790 3.249
Ho Ni H
1 5 7
Direct
0.616 0.225 0.225
0.454 0.967 0.650
0.982 0.994 0.548
0.454 0.650 0.967
0.982 0.548 0.994
0.005 0.447 0.447
0.633 0.618 0.618
0.047 0.732 0.732
0.175 0.203 0.598
0.175 0.598 0.203
0.257 0.066 0.066
0.610 0.735 0.217
0.610 0.217 0.735
```

electronic total energy	-4.577	eV/atom
spin magnetization	0.00	μB per formula unit
space-group type	Cm

---

Ho2Ni16H: optimized geometry, PBE.

```
Ho2Ni16H
1.0
-5.611 1.658 -2.109
-1.141 -5.231 -3.166
-3.294 -2.821 4.458
Ho Ni H
2 16 1
Direct
0.666 0.666 0.666
0.339 0.339 0.339
0.701 0.997 0.295
0.997 0.295 0.701
0.295 0.701 0.997
0.997 0.701 0.295
0.701 0.295 0.997
0.295 0.997 0.701
0.344 0.845 0.344
0.845 0.344 0.344
0.344 0.344 0.845
0.652 0.154 0.652
0.154 0.652 0.652
0.652 0.652 0.154
0.000 0.495 0.000
0.495 0.000 0.000
0.000 0.000 0.495
0.074 0.074 0.074
0.948 0.948 0.948
```

electronic total energy	-5.645	eV/atom
spin magnetization	6.42	μB per formula unit
space-group type	R3m

---

Ho2NiH: optimized geometry, PBE.

```
Ho2NiH
1.0
-1.511 3.084 -1.601
-3.311 1.354 1.249
1.266 4.910 3.779
Ni Ho H
1 2 1
Direct
0.000 0.000 0.000
0.244 0.244 0.267
0.756 0.756 0.733
0.500 0.500 0.500
```

spin magnetization	0.00	μB per formula unit
space-group type	R-3m
energy above the most stable polymorph in this dataset	0.00	eV per formula unit

---

HoNi5H4: optimized geometry, PBE.

```
HoNi5H4
1.0
-2.678 1.204 -3.131
3.614 -1.636 -3.721
-3.181 -7.050 0.009
Ho Ni H
2 10 8
Direct
0.259 0.000 0.000
0.741 0.500 0.500
0.743 0.258 0.172
0.743 0.258 0.828
0.733 0.000 0.500
0.743 0.742 0.172
0.743 0.742 0.828
0.257 0.758 0.328
0.257 0.758 0.672
0.267 0.500 0.000
0.257 0.242 0.672
0.257 0.242 0.328
0.944 0.319 0.000
0.554 0.000 0.280
0.554 0.000 0.720
0.944 0.681 0.000
0.056 0.819 0.500
0.446 0.500 0.220
0.446 0.500 0.780
0.056 0.181 0.500
```

electronic total energy	-4.840	eV/atom
spin magnetization	0.00	μB per formula unit
space-group type	Pmmn

---

Ho2Ni4H: optimized geometry, PBE.

```
Ho2Ni4H
1.0
3.814 0.000 0.000
0.000 3.814 0.000
1.907 1.907 6.930
Ni Ho H
4 2 1
Direct
0.878 0.878 0.245
0.122 0.122 0.755
0.000 0.500 0.000
0.500 0.000 0.000
0.662 0.662 0.676
0.338 0.338 0.324
0.000 0.000 0.000
```

electronic total energy	-5.422	eV/atom
spin magnetization	0.00	μB per formula unit
space-group type	I4/mmm

---

HoNi6H8: optimized geometry, PBE.

```
HoNi6H8
1.0
-3.849 2.959 -0.700
-2.367 -4.264 -0.522
0.022 0.126 4.903
Ho Ni H
1 6 8
Direct
0.000 0.000 0.000
0.669 0.406 0.851
0.406 0.851 0.669
0.851 0.669 0.406
0.331 0.594 0.149
0.594 0.149 0.331
0.149 0.331 0.594
0.691 0.691 0.691
0.309 0.309 0.309
0.632 0.826 0.215
0.826 0.215 0.632
0.215 0.632 0.826
0.368 0.174 0.785
0.174 0.785 0.368
0.785 0.368 0.174
```

electronic total energy	-4.556	eV/atom
spin magnetization	0.00	μB per formula unit
space-group type	R-3

---

HoNi2H: optimized geometry, PBE.

```
HoNi2H
1.0
2.965 0.000 0.000
1.482 2.567 0.000
1.482 0.856 6.951
Ni Ho H
2 1 1
Direct
0.124 0.124 0.629
0.876 0.876 0.371
0.000 0.000 0.000
0.500 0.500 0.500
```

electronic total energy	-4.473	eV/atom
spin magnetization	0.00	μB per formula unit
space-group type	R-3m

---

HoNiH2: optimized geometry, PBE.

```
HoNiH2
1.0
3.845 0.000 0.000
1.922 3.330 0.000
1.922 1.110 3.771
Ni Ho H
1 1 2
Direct
0.000 0.000 0.000
0.500 0.500 0.500
0.137 0.137 0.590
0.863 0.863 0.410
```

electronic total energy	-4.677	eV/atom
spin magnetization	0.00	μB per formula unit
space-group type	R-3m

---

HoNi2H6: optimized geometry, PBE.

```
HoNi2H6
1.0
4.355 0.000 0.000
-2.178 3.772 0.000
0.000 0.000 4.089
Ho Ni H
1 2 6
Direct
0.000 0.000 0.000
0.333 0.667 0.500
0.667 0.333 0.500
0.500 0.000 0.244
0.500 0.500 0.244
0.000 0.500 0.244
0.500 0.500 0.756
0.000 0.500 0.756
0.500 0.000 0.756
```

electronic total energy	-4.401	eV/atom
spin magnetization	0.00	μB per formula unit
space-group type	P6/mmm

---

HoNiH: optimized geometry, PBE.

```
HoNiH
1.0
6.320 0.365 0.455
-0.769 6.284 0.455
-0.769 -0.921 6.233
Ni Ho H
6 6 6
Direct
0.024 0.307 0.076
0.693 0.924 0.976
0.924 0.976 0.693
0.076 0.024 0.307
0.307 0.076 0.024
0.976 0.693 0.924
0.335 0.651 0.142
0.651 0.142 0.335
0.142 0.335 0.651
0.858 0.665 0.349
0.349 0.858 0.665
0.665 0.349 0.858
0.598 0.447 0.197
0.553 0.803 0.402
0.803 0.402 0.553
0.197 0.598 0.447
0.447 0.197 0.598
0.402 0.553 0.803
```

spin magnetization	0.00	μB per formula unit
space-group type	R-3
energy above the most stable polymorph in this dataset	0.00	eV per formula unit

---

Ho12Ni3H5: optimized geometry, PBE.

```
Ho12Ni3H5
1.0
12.871 0.000 0.000
-4.290 12.135 0.000
-4.290 -6.067 10.509
Ni Ho H
12 48 20
Direct
0.750 0.375 0.125
0.875 0.750 0.125
0.375 0.750 0.625
0.250 0.125 0.375
0.875 0.125 0.250
0.375 0.625 0.250
0.625 0.375 0.750
0.125 0.875 0.750
0.750 0.875 0.625
0.625 0.250 0.375
0.125 0.250 0.875
0.250 0.625 0.875
0.716 0.119 0.026
0.310 0.526 0.406
0.974 0.381 0.284
0.526 0.216 0.119
0.597 0.716 0.690
0.974 0.594 0.190
0.310 0.784 0.403
0.094 0.903 0.119
0.594 0.974 0.690
0.716 0.597 0.190
0.784 0.474 0.381
0.810 0.906 0.026
0.119 0.716 0.526
0.381 0.406 0.097
0.097 0.906 0.381
0.403 0.119 0.594
0.097 0.190 0.216
0.474 0.690 0.094
0.810 0.903 0.284
0.119 0.403 0.094
0.381 0.974 0.784
0.594 0.619 0.403
0.906 0.810 0.526
0.784 0.310 0.903
0.406 0.381 0.597
0.094 0.190 0.474
0.216 0.690 0.097
0.190 0.097 0.716
0.619 0.026 0.216
0.881 0.597 0.906
0.526 0.310 0.906
0.597 0.881 0.406
0.903 0.810 0.784
0.903 0.094 0.619
0.881 0.284 0.474
0.190 0.094 0.974
0.619 0.594 0.903
0.406 0.026 0.310
0.284 0.403 0.810
0.216 0.526 0.619
0.906 0.097 0.881
0.690 0.216 0.597
0.474 0.784 0.881
0.026 0.406 0.810
0.403 0.284 0.310
0.026 0.619 0.716
0.690 0.474 0.594
0.284 0.881 0.974
0.125 0.375 0.250
0.000 0.500 0.000
0.000 0.000 0.000
0.375 0.250 0.125
0.500 0.000 0.500
0.500 0.500 0.000
0.125 0.750 0.375
0.750 0.125 0.875
0.750 0.625 0.375
0.375 0.125 0.750
0.625 0.875 0.250
0.500 0.500 0.500
0.500 0.000 0.000
0.000 0.000 0.500
0.250 0.375 0.625
0.250 0.875 0.125
0.000 0.500 0.500
0.875 0.250 0.625
0.625 0.750 0.875
0.875 0.625 0.750
```

electronic total energy	-4.724	eV/atom
spin magnetization	0.00	μB per formula unit
space-group type	Ia-3d

---

Ho3Ni8H: optimized geometry, PBE.

```
Ho3Ni8H
1.0
4.780 0.000 1.418
2.180 4.254 1.418
0.052 0.032 8.592
Ho Ni H
3 8 1
Direct
0.617 0.617 0.149
0.010 0.010 0.969
0.485 0.485 0.546
0.559 0.049 0.833
0.053 0.564 0.330
0.559 0.559 0.833
0.053 0.053 0.330
0.805 0.805 0.584
0.307 0.307 0.079
0.049 0.559 0.833
0.564 0.053 0.330
0.189 0.189 0.433
```

electronic total energy	-5.625	eV/atom
spin magnetization	0.00	μB per formula unit
space-group type	R3m

---

Ho2NiH: optimized geometry, PBE.

```
Ho2NiH
1.0
3.216 0.000 0.000
0.000 3.216 0.000
0.000 0.000 6.829
Ni Ho H
1 2 1
Direct
0.500 0.500 0.000
0.000 0.000 0.750
0.000 0.000 0.250
0.500 0.500 0.500
```

spin magnetization	0.00	μB per formula unit
space-group type	P4/mmm
energy above the most stable polymorph in this dataset	0.82	eV per formula unit